#1
DFT (GGA-PBE) results for a geometry-optimized Zr2CN structure.

Calculated values
* magnetization: 0.000 μB per cell
* space-group type: C2/c

a = 5.7285 Å, b = 5.7227 Å, c = 7.3893 Å
α = 104.91°, β = 104.94°, γ = 109.60°
Atoms (fractional coordinates):
Zr (0.6905, 0.9367, 0.3750)
Zr (0.1845, 0.4383, 0.3750)
C (0.9378, 0.6878, 0.3756)
Zr (0.5647, 0.3103, 0.1250)
C (0.0622, 0.3122, 0.6244)
Zr (0.0603, 0.8147, 0.1250)
Zr (0.3095, 0.0633, 0.6250)
N (0.6882, 0.4382, 0.8763)
Zr (0.4353, 0.6897, 0.8750)
Zr (0.8155, 0.5617, 0.6250)
Zr (0.9397, 0.1853, 0.8750)
C (0.1872, 0.9372, 0.8744)
C (0.8128, 0.0628, 0.1256)
N (0.4368, 0.1868, 0.3737)
N (0.5632, 0.8132, 0.6263)
N (0.3118, 0.5618, 0.1237)


#2
DFT (GGA-PBE) results for a geometry-optimized Zr2CN structure.

Calculated values
* magnetization: 0.000 μB per cell
* space-group type: I-42d

a = 5.0382 Å, b = 5.0382 Å, c = 6.1888 Å
α = 65.98°, β = 65.98°, γ = 90.00°
Atoms (fractional coordinates):
N (0.0000, 0.0000, 0.0000)
Zr (0.1195, 0.6250, 0.2500)
Zr (0.3750, 0.3695, 0.7500)
C (0.5000, 0.5000, 0.0000)
N (0.7500, 0.2500, 0.5000)
C (0.2500, 0.7500, 0.5000)
Zr (0.6305, 0.1250, 0.2500)
Zr (0.8750, 0.8805, 0.7500)


Stability, lowest: #2